## VAs2O (PBE with a Hubbard U)

Data for VAs2O after structural relaxation.

Values from the calculation:
total DFT energy (no corrections) = -5.04 eV/atom
SG = I-42d
density of states at the Fermi level = 4.0 states/eV/cell
mass density = 4946 kg/m3

a = 5.8940 Å, b = 5.8940 Å, c = 5.8940 Å
α = 119.64°, β = 119.64°, γ = 90.63°
With the nearest neighbours (Å) after each atom.
Fractional coordinates of all 8 atoms:
V: 0.0000 0.0000 0.0000  4 As 2.56
V: 0.7500 0.2500 0.5000  4 As 2.56
As: 0.1809 0.1250 0.5559  2 O 2.14
As: 0.3750 0.8191 0.9441  2 O 2.14
As: 0.5691 0.6250 0.4441  2 O 2.14
As: 0.8750 0.4309 0.0559  2 O 2.14
O: 0.2500 0.7500 0.5000  4 As 2.14
O: 0.5000 0.5000 0.0000  4 As 2.14